Entry 1:
Entry from Alexandria: an optimized crystal structure of KAgAs2 (GGA-PBE).

Cell: 6.843 6.843 6.843 Å, 144.90 141.68 52.94°
Sites, in units of the cell vectors:
Ag: 0.289 0.789 0.500
As: 0.899 0.899 0.000
As: 0.773 0.273 0.500
K: 0.539 0.539 0.000

Results
- D(E_F) (states/eV per atom) = 0.291
- space-group type = Imm2, No. 44
- size of the total moment (μB per cell) = 0.00
- formation energy (kJ/mol of formula units) = -30
- E (eV/cell) = -13.557

---

Entry 2:
Entry from Alexandria: an optimized crystal structure of K2AgMoAs (GGA-PBE).

Cell: 6.720 4.813 6.720 Å, 90.00 90.00 90.00°
Last column: magnetic moment on the atom in μB.
Sites, in units of the cell vectors:
K: 0.000 0.000 0.500  0.03
K: 0.500 0.000 0.000  0.03
Mo: 0.000 0.000 0.000  2.86
As: 0.000 0.500 0.000  -0.13
Ag: 0.500 0.500 0.500  0.02

Results
- D(E_F) (states/eV per atom) = 0.359
- space-group type = P4/mmm, No. 123
- size of the total moment (μB per cell) = 3.74
- formation energy (kJ/mol of formula units) = 329
- E (eV/cell) = -17.114

---

Entry 3:
Entry from Alexandria: an optimized crystal structure of K2AgAs2O6 (GGA-PBE).

Cell: 6.008 6.008 7.150 Å, 65.16 65.16 60.00°
Sites, in units of the cell vectors:
K: 0.789 0.789 0.634
K: 0.211 0.211 0.366
Ag: 0.000 0.000 0.000
As: 0.432 0.432 0.704
As: 0.568 0.568 0.296
O: 0.746 0.746 0.246
O: 0.261 0.746 0.246
O: 0.746 0.261 0.246
O: 0.254 0.739 0.754
O: 0.739 0.254 0.754
O: 0.254 0.254 0.754

Results
- energy relative to the elements, uncorrected (eV/atom) = -1.165
- D(E_F) (states/eV per atom) = 0.183
- space-group type = R-3m, No. 166
- size of the total moment (μB per cell) = 0.00
- E (eV/cell) = -56.907

---

Entry 4:
Entry from Alexandria: an optimized crystal structure of KAgAs2P (GGA-PBE).

Cell: 5.051 4.854 5.051 Å, 90.00 90.00 90.00°
Sites, in units of the cell vectors:
P: 0.000 0.000 0.000
As: 0.000 0.000 0.500
As: 0.500 0.000 0.000
K: 0.500 0.500 0.500
Ag: 0.000 0.500 0.000

Results
- D(E_F) (states/eV per atom) = 0.960
- space-group type = P4/mmm, No. 123
- size of the total moment (μB per cell) = 0.00
- formation energy (kJ/mol of formula units) = 135
- E (eV/cell) = -17.262

---

Entry 5:
Entry from Alexandria: an optimized crystal structure of KAg2AsPb (GGA-PBE).

Cell: 5.028 6.103 5.028 Å, 90.00 90.00 90.00°
Sites, in units of the cell vectors:
Pb: 0.000 0.500 0.000
As: 0.000 0.000 0.000
K: 0.500 0.500 0.500
Ag: 0.000 0.000 0.500
Ag: 0.500 0.000 0.000

Results
- D(E_F) (states/eV per atom) = 0.555
- space-group type = P4/mmm, No. 123
- size of the total moment (μB per cell) = 0.00
- formation energy (kJ/mol of formula units) = 79
- E (eV/cell) = -14.342

---

Entry 6:
Entry from Alexandria: an optimized crystal structure of KAgAsPd (GGA-PBE).

Cell: 4.184 4.184 11.967 Å, 90.00 90.00 90.00°
Sites, in units of the cell vectors:
K: 0.750 0.750 0.259
K: 0.250 0.250 0.741
Ag: 0.250 0.750 0.500
Ag: 0.750 0.250 0.500
As: 0.750 0.750 0.886
As: 0.250 0.250 0.114
Pd: 0.750 0.250 0.000
Pd: 0.250 0.750 0.000

Results
- D(E_F) (states/eV per atom) = 0.709
- space-group type = P4/nmm, No. 129
- size of the total moment (μB per cell) = 0.00
- formation energy (kJ/mol of formula units) = -81
- E (eV/cell) = -29.268

---

Entry 7:
Entry from Alexandria: an optimized crystal structure of KAgAsPd2 (GGA-PBE).

Cell: 4.836 4.836 5.040 Å, 90.00 90.00 90.00°
Sites, in units of the cell vectors:
K: 0.500 0.500 0.500
As: 0.000 0.000 0.000
Pd: 0.000 0.500 0.000
Pd: 0.500 0.000 0.000
Ag: 0.000 0.000 0.500

Results
- D(E_F) (states/eV per atom) = 0.676
- space-group type = P4/mmm, No. 123
- size of the total moment (μB per cell) = 0.00
- formation energy (kJ/mol of formula units) = -46
- E (eV/cell) = -19.463

---

Entry 8:
Entry from Alexandria: an optimized crystal structure of K2AgAsS4 (GGA-PBE).

Cell: 6.363 7.178 12.369 Å, 83.45 75.09 63.69°
Sites, in units of the cell vectors:
K: 0.187 0.000 0.626
K: 0.813 0.000 0.374
K: 0.563 0.500 0.874
K: 0.937 0.500 0.126
Ag: 0.750 0.500 0.500
Ag: 0.000 0.000 0.000
As: 0.250 0.500 0.500
As: 0.500 0.000 0.000
S: 0.350 0.797 0.102
S: 0.249 0.203 0.898
S: 0.853 0.797 0.898
S: 0.548 0.203 0.102
S: 0.400 0.703 0.398
S: 0.501 0.297 0.602
S: 0.897 0.703 0.602
S: 0.202 0.297 0.398

Results
- energy relative to the elements, uncorrected (eV/atom) = -0.538
- space-group type = Fddd, No. 70
- size of the total moment (μB per cell) = 0.00
- E (eV/cell) = -61.025